Computed, not measured: an optimized crystal structure of LaOsPb at the PBE level of DFT.

Summary:
- calculated density (g/cm3) = 11.07
- size of the total moment (μB/f.u.) = 0.0
- total energy (eV/cell) = -78.0
- N(E_F) (states/eV per atom) = 0.817
- ΔH_f (0 K) (eV/atom) = 0.12

```
data_LaOsPb
_chemical_formula_sum 'La4 Os4 Pb4'
_cell_length_a 6.853
_cell_length_b 6.853
_cell_length_c 6.853
_cell_angle_alpha 90.00
_cell_angle_beta 90.00
_cell_angle_gamma 90.00
_symmetry_space_group_name_H-M 'F -4 3 m'
_symmetry_Int_Tables_number 216
_symmetry_space_group_name_Hall 'F -4 2 3'
loop_
_atom_site_label
_atom_site_fract_x
_atom_site_fract_y
_atom_site_fract_z
La1 0.000 0.000 0.000
Os1 0.250 0.250 0.250
Pb1 0.000 0.000 0.500
```